Record 1
Here is a relaxed structure of Sr2Ca5In3 from Alexandria. Energies are from PBE.

a = 10.5350 Å, b = 10.5350 Å, c = 6.8850 Å
α = 97.52°, β = 97.52°, γ = 100.59°
Positions (direct):
1 Sr 0.0953 0.6874 0.9530
2 Sr 0.3126 0.9047 0.5470
3 Sr 0.6874 0.0953 0.4530
4 Sr 0.9047 0.3126 0.0470
5 Ca 0.0023 0.9977 0.7500
6 Ca 0.2094 0.5352 0.4678
7 Ca 0.2481 0.3307 0.9165
8 Ca 0.3307 0.2481 0.4165
9 Ca 0.4648 0.7906 0.0322
10 Ca 0.5352 0.2094 0.9678
11 Ca 0.6693 0.7519 0.5835
12 Ca 0.7519 0.6693 0.0835
13 Ca 0.7906 0.4648 0.5322
14 Ca 0.9977 0.0023 0.2500
15 In 0.0119 0.2767 0.5540
16 In 0.2767 0.0119 0.0540
17 In 0.4816 0.5184 0.2500
18 In 0.5184 0.4816 0.7500
19 In 0.7233 0.9881 0.9460
20 In 0.9881 0.7233 0.4460

Results
* energy: -48.56 eV/cell
* space-group type: C2/c

Record 2
Here is a relaxed structure of Sr2CaIn2 from Alexandria. Energies are from PBE.

a = 11.9243 Å, b = 11.9243 Å, c = 11.9243 Å
α = 159.28°, β = 159.28°, γ = 29.47°
Positions (direct):
1 Sr 0.1248 0.1248 0.0000
2 Sr 0.8752 0.8752 0.0000
3 Ca 0.5000 0.5000 0.0000
4 In 0.2500 0.7500 0.5000
5 In 0.7500 0.2500 0.5000

Results
* energy: -11.00 eV/cell
* space-group type: I4/mmm

Record 3
Here is a relaxed structure of SrCa2In3 from Alexandria. Energies are from PBE.

a = 3.9730 Å, b = 3.9730 Å, c = 11.5294 Å
α = 90.00°, β = 90.00°, γ = 90.00°
Positions (direct):
1 Sr 0.0000 0.0000 0.0000
2 Ca 0.0000 0.0000 0.3400
3 Ca 0.0000 0.0000 0.6600
4 In 0.5000 0.5000 0.1840
5 In 0.5000 0.5000 0.5000
6 In 0.5000 0.5000 0.8160

Results
* energy: -16.62 eV/cell
* space-group type: P4/mmm